[1]
This record from the Alexandria database describes a relaxed structure of TaBe2Cu. The functional is PBEsol.

Structure (POSCAR):
```
TaBe2Cu
1.0
3.158 0.000 0.000
0.000 3.843 0.000
0.000 0.000 3.843
Ta Be Cu
1 2 1
Cartesian
1.579 0.000 0.000
0.000 0.000 1.922
0.000 1.922 0.000
1.579 1.922 1.922
```

## Properties
ΔE to the lowest computed polymorph ... 62 meV per atom
VASP energy ... -0.2255 hartree per atom
Magnetization ... 0.00 μB/cell

[2]
This record from the Alexandria database describes a relaxed structure of TaBeCu3. The functional is PBEsol.

Structure (POSCAR):
```
TaBeCu3
1.0
3.952 0.000 0.000
0.000 3.952 0.000
0.000 0.000 3.952
Cu Ta Be
3 1 1
Cartesian
1.976 0.000 0.000
0.000 0.000 1.976
0.000 1.976 0.000
1.976 1.976 1.976
0.000 0.000 0.000
```

## Properties
VASP energy ... -0.2010 hartree per atom
Magnetization ... 0.00 μB/cell

[3]
This record from the Alexandria database describes a relaxed structure of TbBeCu4. The functional is PBEsol.

Structure (POSCAR):
```
TbBeCu4
1.0
3.799 0.000 0.000
0.000 5.000 0.000
0.000 -2.500 4.330
Cu Tb Be
4 1 1
Cartesian
1.900 3.718 2.147
1.900 2.500 0.037
1.900 1.282 2.147
0.000 0.000 2.887
0.000 0.000 0.000
0.000 2.500 1.443
```

## Properties
VASP energy ... -0.1672 hartree per atom
Magnetization ... 0.00 μB/cell

[4]
This record from the Alexandria database describes a relaxed structure of BeCu2Te. The functional is PBEsol.

Structure (POSCAR):
```
BeCu2Te
1.0
3.674 0.000 0.000
0.000 3.674 0.000
0.000 0.000 4.256
Be Te Cu
1 1 2
Cartesian
0.000 0.000 2.128
1.837 1.837 2.128
0.000 1.837 0.000
1.837 0.000 0.000
```

## Properties
ΔE to the lowest computed polymorph ... 1 meV per atom
VASP energy ... -0.1356 hartree per atom
Magnetization ... 0.00 μB/cell
ΔE_f (raw) ... 359 meV per atom